(1)
Density functional theory data (PBE) for Tl2GaSb2 after structural relaxation.

energy relative to the lowest polymorph listed for this composition	116	meV per atom
calculated density	7.5	g/cm³
E_tot	-3.022	eV/atom

Unit cell a=4.326 b=4.326 c=16.977 alpha=90.00 beta=90.00 gamma=90.00
Space group I4/mmm (No. 139)
Inequivalent atoms, fractional coordinates:
Tl 0.000 0.000 0.097 (multiplicity 4)
Ga 0.000 0.000 0.500 (multiplicity 2)
Sb 0.000 0.500 0.250 (multiplicity 4)

---

(2)
Density functional theory data (PBE) for LiTbGe2Pt after structural relaxation.

ΔE_f	-0.82	eV per atom
calculated density	9.3	g/cm³
E_tot	-5.185	eV/atom

Unit cell a=4.084 b=4.084 c=10.812 alpha=90.00 beta=90.00 gamma=90.00
Space group I-4m2 (No. 119)
Inequivalent atoms, fractional coordinates:
Li 0.000 0.000 0.000 (multiplicity 2)
Tb 0.000 0.500 0.250 (multiplicity 2)
Ge 0.000 0.500 0.636 (multiplicity 4)
Pt 0.000 0.000 0.500 (multiplicity 2)

---

(3)
Density functional theory data (PBE) for Co2MoIrPb after structural relaxation.

ΔE_f	1.22	eV per atom
calculated density	10.3	g/cm³
E_tot	-6.299	eV/atom

Unit cell a=4.518 b=4.518 c=4.839 alpha=90.00 beta=90.00 gamma=90.00
Space group P4/mmm (No. 123)
Inequivalent atoms, fractional coordinates:
Co 0.000 0.500 0.000 (multiplicity 2)
Mo 0.000 0.000 0.000 (multiplicity 1)
Ir 0.000 0.000 0.500 (multiplicity 1)
Pb 0.500 0.500 0.500 (multiplicity 1)

---

(4)
Density functional theory data (PBE) for Hg3H12Pt5 after structural relaxation.

calculated density	12.3	g/cm³
E_tot	-3.356	eV/atom

Unit cell a=11.978 b=11.978 c=11.978 alpha=90.00 beta=90.00 gamma=90.00
Space group Ia-3d (No. 230)
Inequivalent atoms, fractional coordinates:
Hg 0.000 0.250 0.125 (multiplicity 24)
H 0.041 0.132 0.946 (multiplicity 96)
Pt 0.000 0.000 0.000 (multiplicity 16)
Pt 0.000 0.250 0.375 (multiplicity 24)

---

(5)
Density functional theory data (PBE) for CsGaPt after structural relaxation.

ΔE_f	-0.37	eV per atom
energy relative to the lowest polymorph listed for this composition	55	meV per atom
calculated density	5.2	g/cm³
E_tot	-3.677	eV/atom

Unit cell a=4.849 b=4.849 c=10.766 alpha=90.00 beta=90.00 gamma=90.00
Space group P4/nmm (No. 129, origin choice 2)
Inequivalent atoms, fractional coordinates:
Cs 0.250 0.250 0.229 (multiplicity 2)
Ga 0.250 0.250 0.560 (multiplicity 2)
Pt 0.250 0.750 0.500 (multiplicity 2)

---

(6)
Density functional theory data (PBE) for CrP3Ru after structural relaxation.

ΔE_f	0.81	eV per atom
energy relative to the lowest polymorph listed for this composition	0	meV per atom
calculated density	5.0	g/cm³
E_tot	-6.215	eV/atom

Unit cell a=4.342 b=4.342 c=4.342 alpha=90.00 beta=90.00 gamma=90.00
Space group Pm-3m (No. 221)
Inequivalent atoms, fractional coordinates:
Cr 0.000 0.000 0.000 (multiplicity 1)
P 0.000 0.000 0.500 (multiplicity 3)
Ru 0.500 0.500 0.500 (multiplicity 1)

---

(7)
Density functional theory data (PBE) for Tm9ThSc2 after structural relaxation.

ΔE_f	0.05	eV per atom
calculated density	8.7	g/cm³
E_tot	-4.981	eV/atom

Unit cell a=4.901 b=4.901 c=14.671 alpha=90.00 beta=90.00 gamma=90.00
Space group P4/mmm (No. 123)
Inequivalent atoms, fractional coordinates:
Tm 0.000 0.000 0.000 (multiplicity 1)
Tm 0.000 0.000 0.338 (multiplicity 2)
Tm 0.000 0.500 0.170 (multiplicity 4)
Tm 0.000 0.500 0.500 (multiplicity 2)
Th 0.500 0.500 0.000 (multiplicity 1)
Sc 0.500 0.500 0.335 (multiplicity 2)

---

(8)
Density functional theory data (PBE) for Ac2Al4CuAu3 after structural relaxation.

ΔE_f	-0.64	eV per atom
calculated density	9.3	g/cm³
E_tot	-4.356	eV/atom

Unit cell a=4.530 b=4.530 c=10.572 alpha=90.00 beta=90.00 gamma=90.00
Space group P-4m2 (No. 115)
Inequivalent atoms, fractional coordinates:
Ac 0.000 0.500 0.243 (multiplicity 2)
Al 0.000 0.000 0.500 (multiplicity 1)
Al 0.000 0.500 0.878 (multiplicity 2)
Al 0.500 0.500 0.500 (multiplicity 1)
Cu 0.500 0.500 0.000 (multiplicity 1)
Au 0.000 0.000 0.000 (multiplicity 1)
Au 0.000 0.500 0.630 (multiplicity 2)

---

(9)
Density functional theory data (PBE) for LaMg2GeN4 after structural relaxation.

calculated density	4.5	g/cm³
E_tot	-6.368	eV/atom

Unit cell a=7.253 b=5.857 c=5.470 alpha=90.00 beta=90.00 gamma=90.00
Space group Pmn2_1 (No. 31)
Inequivalent atoms, fractional coordinates:
La 0.000 0.172 0.000 (multiplicity 2)
Mg 0.249 0.331 0.516 (multiplicity 4)
Ge 0.000 0.815 0.529 (multiplicity 2)
N 0.000 0.136 0.462 (multiplicity 2)
N 0.000 0.785 0.871 (multiplicity 2)
N 0.208 0.670 0.398 (multiplicity 4)

---

(10)
Density functional theory data (PBE) for NaP4 after structural relaxation.

ΔE_f	-0.08	eV per atom
energy relative to the lowest polymorph listed for this composition	0	meV per atom
calculated density	2.1	g/cm³
E_tot	-4.670	eV/atom

Unit cell a=6.170 b=4.867 c=7.834 alpha=90.00 beta=97.43 gamma=90.00
Space group P2_1/c (No. 14)
Inequivalent atoms, fractional coordinates:
Na 0.000 0.000 0.000 (multiplicity 2)
P 0.293 0.195 0.759 (multiplicity 4)
P 0.416 0.615 0.099 (multiplicity 4)